1 | Material: HfBeTe3
Method: DFT, PBE
State: optimized geometry

POSCAR file:
```
HfBeTe3
1.0
5.5512 0.0000 0.0000
0.0000 5.5512 0.0000
0.0000 0.0000 5.5512
Hf Be Te
1 1 3
direct
0.0000 0.0000 0.0000
0.5000 0.5000 0.5000
0.0000 0.0000 0.5000
0.0000 0.5000 0.0000
0.5000 0.0000 0.0000
```

=====

2 | Material: HfBeTe3
Method: DFT, PBE
State: optimized geometry

POSCAR file:
```
HfBeTe3
1.0
4.9410 0.0000 0.0000
0.0000 4.9410 0.0000
0.0000 0.0000 4.9410
Hf Be Te
1 1 3
direct
0.0000 0.0000 0.0000
0.5000 0.5000 0.5000
0.0000 0.5000 0.5000
0.5000 0.0000 0.5000
0.5000 0.5000 0.0000
```

=====

Computed stability ranking, most favorable first: 2, 1